Nd3Tm7Sc2 (PBE, optimized geometry); crystal system = monoclinic; total moment = 0.002 μB/f.u.; total DFT energy (no corrections) = -4.61 eV/atom; calculated formation energy = 242 meV/atom
1.0
3.564 0.000 0.000
0.000 5.474 0.000
-1.789 0.000 19.980
Nd Tm Sc
3 7 2
direct
0.000 0.000 0.000
0.329 0.500 0.661
0.671 0.500 0.339
0.088 0.500 0.175
0.215 0.000 0.429
0.430 0.000 0.862
0.500 0.500 0.000
0.570 0.000 0.138
0.785 0.000 0.571
0.912 0.500 0.825
0.139 0.000 0.274
0.861 0.000 0.726